Computed, not measured: a relaxed structure of SrLa2W at the GGA-PBE level of DFT.

Lattice parameters (Å, degrees): 7.0957 7.0957 7.0957 149.24 134.52 55.91
Last column: nearest neighbours and their distance in Å.
Fractional coordinates of all 4 atoms:
La1 0.2476 0.7476 0.5000  4 W 3.34, 2 La 3.58, 2 Sr 3.71
La2 0.9314 0.9314 0.0000  2 W 2.74
W1 0.7726 0.2726 0.5000  2 La 2.74
Sr1 0.5483 0.5483 0.0000  2 W 3.38, 6 La 3.63-3.71, 2 Sr 3.76

As for the space-group type: Imm2 (44). The formation energy from the elements is 656.6 meV per atom. The total energy comes out at -21.864 eV per cell.